(1)
Entry from Alexandria via LeMat-Bulk: crystalline K2Ag2Se at its relaxed geometry (PBE).

Cell lengths 6.546, 6.546, 6.030 Å; angles 57.13, 57.13, 90.00 degrees
Sites, in units of the cell vectors:
1 K 0.750 0.250 0.500
2 K 0.250 0.750 0.500
3 Se 0.000 0.000 0.000
4 Ag 0.332 0.332 0.336
5 Ag 0.668 0.668 0.664

formation energy (no corrections) = -0.34 eV per atom
D(E_F) = 0.00 states/eV/f.u.
excess energy over the best structure of this formula in the dataset = 0 meV per atom

=====

(2)
Entry from Alexandria via LeMat-Bulk: crystalline NiIr6W2 at its relaxed geometry (PBE).

Cell lengths 3.894, 8.188, 8.188 Å; angles 90.00, 90.00, 90.00 degrees
Sites, in units of the cell vectors:
1 Ni 0.500 0.500 0.000
2 Ni 0.000 0.000 0.500
3 Ir 0.000 0.999 0.169
4 Ir 0.000 0.669 0.499
5 Ir 0.000 0.664 0.836
6 Ir 0.500 0.164 0.664
7 Ir 0.500 0.169 0.001
8 Ir 0.500 0.499 0.331
9 Ir 0.000 0.001 0.831
10 Ir 0.000 0.331 0.501
11 Ir 0.000 0.336 0.164
12 Ir 0.500 0.836 0.336
13 Ir 0.500 0.831 0.999
14 Ir 0.500 0.501 0.669
15 W 0.000 0.329 0.829
16 W 0.500 0.829 0.671
17 W 0.500 0.171 0.329
18 W 0.000 0.671 0.171

D(E_F) = 9.56 states/eV/f.u.
ΔE_f = -212 meV per atom

=====

(3)
Entry from Alexandria via LeMat-Bulk: crystalline CeDy2Pa3P6 at its relaxed geometry (PBE).

Cell lengths 6.922, 6.922, 6.922 Å; angles 99.61, 99.61, 120.01 degrees
Last column: magnetic moment on the atom in μB.
Sites, in units of the cell vectors:
1 Ce 0.000 0.000 0.000  0.29
2 Dy 0.333 0.667 0.000  0.00
3 Dy 0.667 0.333 0.000  0.00
4 Pa 0.166 0.834 0.500  0.04
5 Pa 0.834 0.166 0.500  0.04
6 Pa 0.500 0.500 0.500  0.04
7 P 0.915 0.578 0.744  0.00
8 P 0.749 0.749 0.255  0.00
9 P 0.085 0.422 0.256  0.00
10 P 0.578 0.915 0.744  0.00
11 P 0.251 0.251 0.745  0.00
12 P 0.422 0.085 0.256  0.00

D(E_F) = 13.09 states/eV/f.u.
ΔE_f = -1440 meV per atom

=====

Sequential final energy output: -13.1 -173.5 -93.4 eV for the cell shown